First-principles (PBE-GGA) data for HfTc2Pb after structural relaxation, as listed in Alexandria.

a b c (Å): 7.448 7.448 5.821
angles (deg): 90.00 90.00 90.00
Space group I-42d (No. 122)
Asymmetric unit:
Hf  0.000  0.000  0.000 x4
Tc  0.230  0.250  0.125 x8
Pb  0.000  0.000  0.500 x4

Values from the calculation:
The value obtained for the density of states at the Fermi level is 1.29 states/eV/atom. The value obtained for the total DFT energy (no corrections) is -7.731 eV per atom. As for the total moment: 1.80 μB/f.u.



First-principles (PBE-GGA) data for UTeCl2 after structural relaxation, as listed in Alexandria.

a b c (Å): 3.950 13.831 8.820
angles (deg): 90.00 90.00 90.00
Space group Cmcm (No. 63)
Asymmetric unit:
U  0.000  0.233  0.250 x4
Te  0.000  0.428  0.750 x4
Cl  0.000  0.168  0.574 x8

Values from the calculation:
The value obtained for the density of states at the Fermi level is 1.51 states/eV/atom. As for the energy relative to the elements, uncorrected: -4.8 eV per formula unit. As for the total moment: 2.00 μB/f.u.



First-principles (PBE-GGA) data for Zn2Bi2Pd after structural relaxation, as listed in Alexandria.

a b c (Å): 6.834 6.834 4.672
angles (deg): 90.00 90.00 90.00
Space group P4/mbm (No. 127)
Asymmetric unit:
Zn  0.139  0.361  0.000 x4
Bi  0.173  0.673  0.500 x4
Pd  0.000  0.000  0.000 x2

Values from the calculation:
The value obtained for the density of states at the Fermi level is 0.24 states/eV/atom. As for the excess energy over the best structure of this formula in the dataset: 0.020 eV per atom. As for the total moment: 0.00 μB/f.u.



First-principles (PBE-GGA) data for LaTlPt2 after structural relaxation, as listed in Alexandria.

a b c (Å): 6.870 6.874 3.786
angles (deg): 90.00 90.89 90.00
Space group C2/m (No. 12)
Asymmetric unit:
La  0.000  0.000  0.000 x2
Tl  0.000  0.500  0.000 x2
Pt  0.250  0.250  0.500 x4

Values from the calculation:
The value obtained for the density of states at the Fermi level is 0.47 states/eV/atom. The value obtained for the total DFT energy (no corrections) is -5.445 eV per atom. As for the total moment: 0.00 μB/f.u.



Please write out number 2 again, unchanged.
First-principles (PBE-GGA) data for UTeCl2 after structural relaxation, as listed in Alexandria.

a b c (Å): 3.950 13.831 8.820
angles (deg): 90.00 90.00 90.00
Space group Cmcm (No. 63)
Asymmetric unit:
U  0.000  0.233  0.250 x4
Te  0.000  0.428  0.750 x4
Cl  0.000  0.168  0.574 x8

Values from the calculation:
The value obtained for the density of states at the Fermi level is 1.51 states/eV/atom. As for the energy relative to the elements, uncorrected: -4.8 eV per formula unit. As for the total moment: 2.00 μB/f.u.



Q: Among the records above, which one has the highest density of states at the Fermi level?
A: UTeCl2



Q: Among the records above, which one has the highest density of states at the Fermi level?
A: UTeCl2